1.
YTmCd17 | PBE | relaxed

Lattice parameters (Å, degrees): 7.6605 7.6605 7.6605 81.80 81.80 81.80
Sites, in units of the cell vectors:
Y: 0.0000 0.0000 0.0000
Tm: 0.6493 0.6493 0.6493
Cd: 0.0200 0.3303 0.6335
Cd: 0.0200 0.6335 0.3303
Cd: 0.2125 0.6688 0.6688
Cd: 0.2379 0.2379 0.2379
Cd: 0.3013 0.3013 0.8586
Cd: 0.3013 0.8586 0.3013
Cd: 0.3303 0.0200 0.6335
Cd: 0.3303 0.6335 0.0200
Cd: 0.4296 0.4296 0.4296
Cd: 0.5572 0.9435 0.9435
Cd: 0.6335 0.0200 0.3303
Cd: 0.6335 0.3303 0.0200
Cd: 0.6688 0.2125 0.6688
Cd: 0.6688 0.6688 0.2125
Cd: 0.8586 0.3013 0.3013
Cd: 0.9435 0.5572 0.9435
Cd: 0.9435 0.9435 0.5572

VASP energy ... -1.49 eV/atom
Space-group type ... R3m (160)

2.
Th2CoSiAg | PBE | relaxed

Lattice parameters (Å, degrees): 7.1264 4.2916 8.1441 90.00 114.05 90.00
Sites, in units of the cell vectors:
Th: 0.1909 0.2500 0.3610
Th: 0.2669 0.2500 0.9460
Th: 0.7331 0.7500 0.0540
Th: 0.8091 0.7500 0.6390
Co: 0.1028 0.7500 0.0758
Co: 0.8972 0.2500 0.9242
Si: 0.4426 0.7500 0.2688
Si: 0.5574 0.2500 0.7312
Ag: 0.3193 0.7500 0.6741
Ag: 0.6807 0.2500 0.3259

Formation energy without anion corrections ... -1.692 eV per formula unit
Space-group type ... P2_1/m (11)

3.
Nd6Tl5Ru | PBE | relaxed

Lattice parameters (Å, degrees): 9.3171 9.3171 5.4226 106.84 106.84 50.08
Sites, in units of the cell vectors:
Nd: 0.0756 0.6185 0.3470
Nd: 0.2220 0.7780 0.0000
Nd: 0.3815 0.9244 0.6530
Nd: 0.6185 0.0756 0.3470
Nd: 0.7780 0.2220 0.0000
Nd: 0.9244 0.3815 0.6530
Tl: 0.1847 0.1847 0.1848
Tl: 0.3373 0.3373 0.8375
Tl: 0.5000 0.5000 0.5000
Tl: 0.6627 0.6627 0.1625
Tl: 0.8153 0.8153 0.8152
Ru: 0.0000 0.0000 0.5000

VASP energy ... -4.47 eV/atom
Space-group type ... C2/m (12)

4.
BaTiN2 | PBE | relaxed

Lattice parameters (Å, degrees): 3.2776 3.2776 12.2675 90.00 90.00 120.00
Sites, in units of the cell vectors:
Ba: 0.3333 0.6667 0.2500
Ba: 0.6667 0.3333 0.7500
Ti: 0.0000 0.0000 0.0000
Ti: 0.0000 0.0000 0.5000
N: 0.3333 0.6667 0.5880
N: 0.3333 0.6667 0.9120
N: 0.6667 0.3333 0.0880
N: 0.6667 0.3333 0.4120

Formation energy without anion corrections ... -3.320 eV per formula unit
Space-group type ... P6_3/mmc (194)